# 1
NdY5Rh6: optimized geometry, PBE-GGA.

Values from the calculation:
Space-group type: Cmmm (65)
DOS(E_F) (states/eV/cell): 7.708
DFT formation energy (meV/atom): -803
V (Å³ per cell): 247.6
Size of the total moment (Bohr magnetons per cell): 0.00
Total energy (eV per atom): -7.57
Crystal system: orthorhombic

The structure in POSCAR format:
```
NdY5Rh6
1.0
2.433 -7.310 0.000
2.433 7.310 0.000
0.000 0.000 6.961
Nd Y Rh
1 5 6
Direct
0.000 0.000 0.000
0.000 0.000 0.500
0.332 0.668 0.000
0.333 0.667 0.500
0.667 0.333 0.500
0.668 0.332 0.000
0.168 0.832 0.252
0.168 0.832 0.748
0.500 0.500 0.255
0.500 0.500 0.745
0.832 0.168 0.252
0.832 0.168 0.748
```



# 2
Nd2Y2Rh3: optimized geometry, PBE-GGA.

Values from the calculation:
Space-group type: I2_13 (199)
DOS(E_F) (states/eV/cell): 6.747
DFT formation energy (meV/atom): -679
V (Å³ per cell): 334.6
Size of the total moment (Bohr magnetons per cell): 0.00
Distance to the lowest polymorph of the same formula (eV per atom): 0.0000
Total energy (eV per atom): -7.04
Crystal system: cubic

The structure in POSCAR format:
```
Nd2Y2Rh3
1.0
-4.374 4.374 4.374
4.374 -4.374 4.374
4.374 4.374 -4.374
Nd Y Rh
4 4 6
Direct
0.000 0.125 0.500
0.125 0.500 0.000
0.375 0.375 0.375
0.500 0.000 0.125
0.000 0.613 0.500
0.500 0.000 0.613
0.613 0.500 0.000
0.887 0.887 0.887
0.092 0.842 0.250
0.250 0.092 0.842
0.408 0.658 0.750
0.658 0.750 0.408
0.750 0.408 0.658
0.842 0.250 0.092
```



# 3
Nd2YRh: optimized geometry, PBE-GGA.

Values from the calculation:
Space-group type: Pnma (62)
DOS(E_F) (states/eV/cell): 17.973
DFT formation energy (meV/atom): -447
V (Å³ per cell): 462.7
Size of the total moment (Bohr magnetons per cell): 0.00
Distance to the lowest polymorph of the same formula (eV per atom): 0.0000
Total energy (eV per atom): -6.28
Crystal system: orthorhombic

The structure in POSCAR format:
```
Nd2YRh
1.0
7.297 0.000 0.000
0.000 9.975 0.000
0.000 0.000 6.357
Nd Y Rh
8 4 4
Direct
0.178 0.065 0.169
0.178 0.435 0.169
0.322 0.565 0.669
0.322 0.935 0.669
0.678 0.065 0.331
0.678 0.435 0.331
0.822 0.565 0.831
0.822 0.935 0.831
0.036 0.250 0.649
0.464 0.750 0.149
0.536 0.250 0.851
0.964 0.750 0.351
0.122 0.750 0.940
0.378 0.250 0.440
0.622 0.750 0.560
0.878 0.250 0.060
```



# 4
Nd2YRh: optimized geometry, PBE-GGA.

Values from the calculation:
Space-group type: P4/mmm (123)
DOS(E_F) (states/eV/cell): 5.871
DFT formation energy (meV/atom): -265
V (Å³ per cell): 115.1
Size of the total moment (Bohr magnetons per cell): 0.47
Distance to the lowest polymorph of the same formula (eV per atom): 0.1821
Total energy (eV per atom): -6.10
Crystal system: tetragonal

The structure in POSCAR format:
```
Nd2YRh
1.0
3.622 0.000 0.000
0.000 3.622 0.000
0.000 0.000 8.770
Nd Y Rh
2 1 1
Direct
0.000 0.000 0.190
0.000 0.000 0.810
0.500 0.500 0.500
0.500 0.500 0.000
```



# 5
Nd4YRh: optimized geometry, PBE-GGA.

Values from the calculation:
Space-group type: Immm (71)
DOS(E_F) (states/eV/cell): 15.753
DFT formation energy (meV/atom): -186
V (Å³ per cell): 381.2
Size of the total moment (Bohr magnetons per cell): 0.00
Total energy (eV per atom): -5.67
Crystal system: orthorhombic

The structure in POSCAR format:
```
Nd4YRh
1.0
-3.037 3.785 8.291
3.037 -3.785 8.291
3.037 3.785 -8.291
Nd Y Rh
8 2 2
Direct
0.136 0.382 0.753
0.173 0.173 0.000
0.294 0.000 0.294
0.371 0.618 0.753
0.629 0.382 0.247
0.706 0.000 0.706
0.827 0.827 0.000
0.864 0.618 0.247
0.302 0.802 0.500
0.698 0.198 0.500
0.000 0.271 0.271
0.000 0.729 0.729
```



# 6
NdYRh: optimized geometry, PBE-GGA.

Values from the calculation:
Space-group type: I4mm (107)
DOS(E_F) (states/eV/cell): 3.730
DFT formation energy (meV/atom): -473
V (Å³ per cell): 79.7
Size of the total moment (Bohr magnetons per cell): 0.00
Distance to the lowest polymorph of the same formula (eV per atom): 0.0400
Total energy (eV per atom): -6.67
Crystal system: tetragonal

The structure in POSCAR format:
```
NdYRh
1.0
-1.759 1.759 6.435
1.759 -1.759 6.435
1.759 1.759 -6.435
Nd Y Rh
1 1 1
Direct
0.000 0.000 0.000
0.260 0.260 0.000
0.637 0.637 0.000
```